Below is a relaxed Tb5Dy5In2 crystal, with properties calculated at the PBE-GGA level.

Values from the calculation:
The calculated total energy comes out at -4.435 eV/atom. For the formation energy, the calculation gives -132 meV/atom. The magnetic moment comes out at 0.00 μB per atom.

abc: 5.4111 6.6544 16.4457
angles: 132.45 90.00 113.99
With the nearest neighbours (Å) after each atom.
Element x y z (fractional)
Dy (0.4305, 0.8610, 0.2504)  2 In 3.40, 7 Tb 3.53-3.65, 4 Dy 3.54-3.62
Dy (0.5695, 0.1390, 0.7496)  2 In 3.40, 7 Tb 3.53-3.65, 4 Dy 3.54-3.62
Dy (0.8539, 0.7078, 0.5328)  1 In 3.18, 2 Dy 3.29, 3 Tb 3.41-3.49
Dy (0.1461, 0.2922, 0.4672)  1 In 3.18, 2 Dy 3.29, 3 Tb 3.41-3.49
Tb (0.7112, 0.4225, 0.0324)  1 In 3.18, 3 Tb 3.29-3.41, 2 Dy 3.49
Tb (0.2888, 0.5775, 0.9676)  1 In 3.18, 3 Tb 3.29-3.41, 2 Dy 3.49
Tb (0.2694, 0.5387, 0.7497)  2 In 3.14, 1 Dy 3.41, 1 Tb 3.41
In (0.0995, 0.1991, 0.2499)  4 Tb 3.14-3.32, 4 Dy 3.18-3.40
In (0.9005, 0.8009, 0.7501)  4 Tb 3.14-3.32, 4 Dy 3.18-3.40
Tb (0.5000, 0.0000, 0.5000)  2 In 3.32, 6 Dy 3.49-3.53
Dy (0.0000, 0.0000, 0.0000)  2 In 3.32, 4 Tb 3.49, 2 Dy 3.54
Tb (0.7306, 0.4613, 0.2503)  2 In 3.14, 1 Dy 3.41, 1 Tb 3.41

Below is a relaxed CsBa2Pb2 crystal, with properties calculated at the PBE-GGA level.

Values from the calculation:
The calculated total energy comes out at -2.672 eV/atom. For the formation energy, the calculation gives -249 meV/atom. The magnetic moment comes out at 0.00 μB per atom.

abc: 6.2285 6.2285 8.0108
angles: 67.12 67.12 90.00
With the nearest neighbours (Å) after each atom.
Element x y z (fractional)
Pb (0.3877, 0.3877, 0.2247)  1 Pb 3.01
Pb (0.6123, 0.6123, 0.7753)  1 Pb 3.01
Ba (0.7500, 0.2500, 0.5000)  4 Pb 3.62
Ba (0.2500, 0.7500, 0.5000)  4 Pb 3.62
Cs (0.0000, 0.0000, 0.0000)  8 Ba 4.57, 8 Pb 4.65